[1]
! Ac3Te2Se, relaxed, DFT PBE-GGA; values from VASP
! - Fermi-level density of states (states/eV per cell) = 2.70
! - electronic total energy (eV/atom) = -5.2855
! - crystal system = tetragonal
! - formation energy (no corrections) (meV/atom) = -1603
! - space group = I4/mmm, No. 139
! - polymorph energy (0 for the lowest one) (meV/atom) = 0
&SYSTEM
  ibrav = 0, nat = 6, ntyp = 3
/
ATOMIC_SPECIES
Ac 227.00 Ac.upf
Te 127.60 Te.upf
Se 78.96 Se.upf
CELL_PARAMETERS angstrom
-2.325 2.325 9.870
2.325 -2.325 9.870
2.325 2.325 -9.870
ATOMIC_POSITIONS crystal
Ac 0.000 0.000 0.000
Ac 0.343 0.343 0.000
Ac 0.657 0.657 0.000
Te 0.171 0.171 0.000
Te 0.829 0.829 0.000
Se 0.500 0.500 0.000

=====

[2]
! YZnAg2C, relaxed, DFT PBE-GGA; values from VASP
! - Fermi-level density of states (states/eV per cell) = 3.97
! - electronic total energy (eV/atom) = -2.3293
! - crystal system = tetragonal
! - space group = P4/mmm, No. 123
! - ΔH_f (0 K) (meV/atom) = 2204
&SYSTEM
  ibrav = 0, nat = 5, ntyp = 4
/
ATOMIC_SPECIES
Y 88.91 Y.upf
Zn 65.41 Zn.upf
Ag 107.87 Ag.upf
C 12.01 C.upf
CELL_PARAMETERS angstrom
5.652 0.000 0.000
0.000 5.652 0.000
0.000 0.000 5.849
ATOMIC_POSITIONS crystal
Y 0.000 0.000 0.000
Zn 0.000 0.000 0.500
Ag 0.000 0.500 0.000
Ag 0.500 0.000 0.000
C 0.500 0.500 0.500

=====

[3]
! AcTbGdEr, relaxed, DFT PBE-GGA; values from VASP
! - Fermi-level density of states (states/eV per cell) = 8.30
! - electronic total energy (eV/atom) = -6.7025
! - crystal system = cubic
! - space group = F-43m, No. 216
! - ΔH_f (0 K) (meV/atom) = 143
&SYSTEM
  ibrav = 0, nat = 4, ntyp = 4
/
ATOMIC_SPECIES
Ac 227.00 Ac.upf
Tb 158.93 Tb.upf
Gd 157.25 Gd.upf
Er 167.26 Er.upf
CELL_PARAMETERS angstrom
0.000 4.122 4.122
4.122 0.000 4.122
4.122 4.122 0.000
ATOMIC_POSITIONS crystal
Ac 0.000 0.000 0.000
Tb 0.250 0.250 0.250
Gd 0.750 0.750 0.750
Er 0.500 0.500 0.500

=====

[4]
! HgAuSe2, relaxed, DFT PBE-GGA; values from VASP
! - Fermi-level density of states (states/eV per cell) = 2.83
! - electronic total energy (eV/atom) = -2.1993
! - crystal system = cubic
! - formation energy (no corrections) (meV/atom) = 438
! - space group = F-43m, No. 216
&SYSTEM
  ibrav = 0, nat = 4, ntyp = 3
/
ATOMIC_SPECIES
Hg 200.59 Hg.upf
Au 196.97 Au.upf
Se 78.96 Se.upf
CELL_PARAMETERS angstrom
0.000 3.489 3.489
3.489 0.000 3.489
3.489 3.489 0.000
ATOMIC_POSITIONS crystal
Hg 0.000 0.000 0.000
Au 0.250 0.250 0.250
Se 0.500 0.500 0.500
Se 0.750 0.750 0.750

=====

[5]
! SmAgSn3, relaxed, DFT PBE-GGA; values from VASP
! - Fermi-level density of states (states/eV per cell) = 9.96
! - electronic total energy (eV/atom) = -4.2660
! - crystal system = orthorhombic
! - space group = Pbcm, No. 57
! - ΔH_f (0 K) (meV/atom) = -350
&SYSTEM
  ibrav = 0, nat = 20, ntyp = 3
/
ATOMIC_SPECIES
Sm 150.36 Sm.upf
Ag 107.87 Ag.upf
Sn 118.71 Sn.upf
CELL_PARAMETERS angstrom
12.966 0.000 0.000
0.000 6.273 0.000
0.000 0.000 6.255
ATOMIC_POSITIONS crystal
Sm 0.192 0.006 0.250
Sm 0.192 0.494 0.750
Sm 0.808 0.506 0.250
Sm 0.808 0.994 0.750
Ag 0.390 0.250 0.000
Ag 0.390 0.250 0.500
Ag 0.610 0.750 0.000
Ag 0.610 0.750 0.500
Sn 0.001 0.750 0.000
Sn 0.001 0.750 0.500
Sn 0.242 0.509 0.250
Sn 0.242 0.991 0.750
Sn 0.426 0.649 0.750
Sn 0.426 0.851 0.250
Sn 0.574 0.149 0.750
Sn 0.574 0.351 0.250
Sn 0.758 0.009 0.250
Sn 0.758 0.491 0.750
Sn 0.999 0.250 0.000
Sn 0.999 0.250 0.500

=====

[6]
! BaDy2S4, relaxed, DFT PBE-GGA; values from VASP
! - electronic total energy (eV/atom) = -6.0651
! - crystal system = orthorhombic
! - formation energy (no corrections) (meV/atom) = -2117
! - space group = Cmcm, No. 63
! - polymorph energy (0 for the lowest one) (meV/atom) = 26
&SYSTEM
  ibrav = 0, nat = 14, ntyp = 3
/
ATOMIC_SPECIES
Ba 137.33 Ba.upf
Dy 162.50 Dy.upf
S 32.06 S.upf
CELL_PARAMETERS angstrom
2.025 -6.612 0.000
2.025 6.612 0.000
0.000 0.000 13.688
ATOMIC_POSITIONS crystal
Ba 0.110 0.890 0.750
Ba 0.890 0.110 0.250
Dy 0.365 0.635 0.567
Dy 0.365 0.635 0.933
Dy 0.635 0.365 0.067
Dy 0.635 0.365 0.433
S 0.000 0.000 0.000
S 0.000 0.000 0.500
S 0.266 0.734 0.110
S 0.266 0.734 0.390
S 0.435 0.565 0.750
S 0.565 0.435 0.250
S 0.734 0.266 0.610
S 0.734 0.266 0.890

=====

[7]
! Sm3Dy2Er6In, relaxed, DFT PBE-GGA; values from VASP
! - Fermi-level density of states (states/eV per cell) = 16.88
! - electronic total energy (eV/atom) = -4.4976
! - crystal system = monoclinic
! - space group = C2/m, No. 12
! - ΔH_f (0 K) (meV/atom) = -41
&SYSTEM
  ibrav = 0, nat = 12, ntyp = 4
/
ATOMIC_SPECIES
Sm 150.36 Sm.upf
Dy 162.50 Dy.upf
Er 167.26 Er.upf
In 114.82 In.upf
CELL_PARAMETERS angstrom
3.043 -5.271 0.000
3.043 5.271 0.000
-2.034 0.000 11.431
ATOMIC_POSITIONS crystal
Sm 0.000 0.000 0.000
Sm 0.333 0.667 0.000
Sm 0.667 0.333 0.000
Dy 0.166 0.834 0.500
Dy 0.834 0.166 0.500
Er 0.091 0.419 0.255
Er 0.253 0.253 0.746
Er 0.419 0.091 0.255
Er 0.581 0.909 0.745
Er 0.747 0.747 0.254
Er 0.909 0.581 0.745
In 0.500 0.500 0.500

=====

[8]
! NdY3Ho2S6, relaxed, DFT PBE-GGA; values from VASP
! - Fermi-level density of states (states/eV per cell) = 4.92
! - electronic total energy (eV/atom) = -6.8347
! - crystal system = monoclinic
! - formation energy (no corrections) (meV/atom) = -1995
! - space group = C2/m, No. 12
&SYSTEM
  ibrav = 0, nat = 12, ntyp = 4
/
ATOMIC_SPECIES
Nd 144.24 Nd.upf
Y 88.91 Y.upf
Ho 164.93 Ho.upf
S 32.06 S.upf
CELL_PARAMETERS angstrom
3.401 -5.912 0.000
3.401 5.912 0.000
-2.272 0.000 6.416
ATOMIC_POSITIONS crystal
Nd 0.000 0.000 0.000
Y 0.162 0.838 0.500
Y 0.500 0.500 0.500
Y 0.838 0.162 0.500
Ho 0.334 0.666 0.000
Ho 0.666 0.334 0.000
S 0.084 0.428 0.253
S 0.260 0.260 0.750
S 0.428 0.084 0.253
S 0.572 0.916 0.747
S 0.740 0.740 0.250
S 0.916 0.572 0.747

=====

[9]
! Th3TlTc, relaxed, DFT PBE-GGA; values from VASP
! - Fermi-level density of states (states/eV per cell) = 7.77
! - electronic total energy (eV/atom) = -7.1316
! - crystal system = orthorhombic
! - space group = Fmmm, No. 69
! - ΔH_f (0 K) (meV/atom) = -133
! - polymorph energy (0 for the lowest one) (meV/atom) = 0
&SYSTEM
  ibrav = 0, nat = 10, ntyp = 3
/
ATOMIC_SPECIES
Th 232.04 Th.upf
Tl 204.38 Tl.upf
Tc 98.00 Tc.upf
CELL_PARAMETERS angstrom
0.000 5.193 8.463
3.305 0.000 8.463
3.305 5.193 0.000
ATOMIC_POSITIONS crystal
Th 0.192 0.192 0.808
Th 0.201 0.559 0.441
Th 0.441 0.799 0.201
Th 0.559 0.201 0.799
Th 0.799 0.441 0.559
Th 0.808 0.808 0.192
Tl 0.217 0.783 0.783
Tl 0.783 0.217 0.217
Tc 0.250 0.250 0.250
Tc 0.750 0.750 0.750

=====

[10]
! TiIn2BBr, relaxed, DFT PBE-GGA; values from VASP
! - Fermi-level density of states (states/eV per cell) = 11.28
! - electronic total energy (eV/atom) = -3.4500
! - crystal system = tetragonal
! - formation energy (no corrections) (meV/atom) = 894
! - space group = P4/mmm, No. 123
&SYSTEM
  ibrav = 0, nat = 5, ntyp = 4
/
ATOMIC_SPECIES
Ti 47.87 Ti.upf
In 114.82 In.upf
B 10.81 B.upf
Br 79.90 Br.upf
CELL_PARAMETERS angstrom
4.303 0.000 0.000
0.000 4.303 0.000
0.000 0.000 8.240
ATOMIC_POSITIONS crystal
Ti 0.000 0.000 0.000
In 0.000 0.500 0.500
In 0.500 0.000 0.500
B 0.500 0.500 0.500
Br 0.500 0.500 0.000

=====

[11]
! Tb3HN2, relaxed, DFT PBE-GGA; values from VASP
! - Fermi-level density of states (states/eV per cell) = 6.06
! - electronic total energy (eV/atom) = -6.6209
! - crystal system = orthorhombic
! - space group = Cmcm, No. 63
&SYSTEM
  ibrav = 0, nat = 12, ntyp = 3
/
ATOMIC_SPECIES
Tb 158.93 Tb.upf
H 1.01 H.upf
N 14.01 N.upf
CELL_PARAMETERS angstrom
1.721 -5.931 0.000
1.721 5.931 0.000
0.000 0.000 10.806
ATOMIC_POSITIONS crystal
Tb 0.103 0.897 0.750
Tb 0.386 0.614 0.580
Tb 0.386 0.614 0.920
Tb 0.614 0.386 0.080
Tb 0.614 0.386 0.420
Tb 0.897 0.103 0.250
H 0.231 0.769 0.250
H 0.769 0.231 0.750
N 0.000 0.000 0.000
N 0.000 0.000 0.500
N 0.488 0.512 0.750
N 0.512 0.488 0.250

=====

[12]
! Pm3TaNb3N8, relaxed, DFT PBE-GGA; values from VASP
! - Fermi-level density of states (states/eV per cell) = 5.32
! - electronic total energy (eV/atom) = -9.3465
! - crystal system = monoclinic
! - formation energy (no corrections) (meV/atom) = -1152
! - space group = C2/m, No. 12
&SYSTEM
  ibrav = 0, nat = 15, ntyp = 4
/
ATOMIC_SPECIES
Pm 145.00 Pm.upf
Ta 180.95 Ta.upf
Nb 92.91 Nb.upf
N 14.01 N.upf
CELL_PARAMETERS angstrom
5.573 -3.210 0.000
5.573 3.210 0.000
-3.713 0.000 5.679
ATOMIC_POSITIONS crystal
Pm 0.000 0.000 0.000
Pm 0.000 0.500 0.000
Pm 0.500 0.000 0.000
Ta 0.000 0.000 0.500
Nb 0.000 0.500 0.500
Nb 0.500 0.000 0.500
Nb 0.500 0.500 0.500
N 0.231 0.231 0.704
N 0.231 0.744 0.705
N 0.256 0.769 0.295
N 0.261 0.261 0.285
N 0.739 0.739 0.715
N 0.744 0.231 0.705
N 0.769 0.256 0.295
N 0.769 0.769 0.296

=====

[13]
! Ca3TiHg, relaxed, DFT PBE-GGA; values from VASP
! - Fermi-level density of states (states/eV per cell) = 7.82
! - electronic total energy (eV/atom) = -2.1851
! - crystal system = cubic
! - space group = Pm-3m, No. 221
! - ΔH_f (0 K) (meV/atom) = 655
! - polymorph energy (0 for the lowest one) (meV/atom) = 97
&SYSTEM
  ibrav = 0, nat = 5, ntyp = 3
/
ATOMIC_SPECIES
Ca 40.08 Ca.upf
Ti 47.87 Ti.upf
Hg 200.59 Hg.upf
CELL_PARAMETERS angstrom
5.866 0.000 0.000
0.000 5.866 0.000
0.000 0.000 5.866
ATOMIC_POSITIONS crystal
Ca 0.000 0.000 0.500
Ca 0.000 0.500 0.000
Ca 0.500 0.000 0.000
Ti 0.000 0.000 0.000
Hg 0.500 0.500 0.500

=====

[14]
! AlInCl4, relaxed, DFT PBE-GGA; values from VASP
! - Fermi-level density of states (states/eV per cell) = 0.00
! - electronic total energy (eV/atom) = -3.6625
! - crystal system = orthorhombic
! - formation energy (no corrections) (meV/atom) = -1351
! - space group = Pnma, No. 62
! - polymorph energy (0 for the lowest one) (meV/atom) = 0
&SYSTEM
  ibrav = 0, nat = 24, ntyp = 3
/
ATOMIC_SPECIES
Al 26.98 Al.upf
In 114.82 In.upf
Cl 35.45 Cl.upf
CELL_PARAMETERS angstrom
10.796 0.000 0.000
0.000 7.250 0.000
0.000 0.000 9.853
ATOMIC_POSITIONS crystal
Al 0.056 0.250 0.182
Al 0.444 0.750 0.682
Al 0.556 0.250 0.318
Al 0.944 0.750 0.818
In 0.215 0.250 0.732
In 0.285 0.750 0.232
In 0.715 0.250 0.768
In 0.785 0.750 0.268
Cl 0.058 0.007 0.311
Cl 0.058 0.493 0.311
Cl 0.109 0.750 0.939
Cl 0.223 0.250 0.060
Cl 0.277 0.750 0.560
Cl 0.391 0.250 0.439
Cl 0.442 0.507 0.811
Cl 0.442 0.993 0.811
Cl 0.558 0.007 0.189
Cl 0.558 0.493 0.189
Cl 0.609 0.750 0.561
Cl 0.723 0.250 0.440
Cl 0.777 0.750 0.940
Cl 0.891 0.250 0.061
Cl 0.942 0.507 0.689
Cl 0.942 0.993 0.689

=====

[15]
! BiS2Cl, relaxed, DFT PBE-GGA; values from VASP
! - Fermi-level density of states (states/eV per cell) = 1.23
! - electronic total energy (eV/atom) = -3.2813
! - crystal system = tetragonal
! - formation energy (no corrections) (meV/atom) = 214
! - space group = I-42d, No. 122
! - polymorph energy (0 for the lowest one) (meV/atom) = 336
&SYSTEM
  ibrav = 0, nat = 8, ntyp = 3
/
ATOMIC_SPECIES
Bi 208.98 Bi.upf
S 32.06 S.upf
Cl 35.45 Cl.upf
CELL_PARAMETERS angstrom
-3.695 3.695 3.902
3.695 -3.695 3.902
3.695 3.695 -3.902
ATOMIC_POSITIONS crystal
Bi 0.000 0.000 0.000
Bi 0.750 0.250 0.500
S 0.091 0.625 0.966
S 0.375 0.341 0.466
S 0.659 0.125 0.034
S 0.875 0.909 0.534
Cl 0.250 0.750 0.500
Cl 0.500 0.500 0.000

=====

[16]
! Cd5Ag2Sn, relaxed, DFT PBE-GGA; values from VASP
! - Fermi-level density of states (states/eV per cell) = 0.98
! - electronic total energy (eV/atom) = -1.7737
! - crystal system = monoclinic
! - space group = Cm, No. 8
! - ΔH_f (0 K) (meV/atom) = 11
! - polymorph energy (0 for the lowest one) (meV/atom) = 0
&SYSTEM
  ibrav = 0, nat = 8, ntyp = 3
/
ATOMIC_SPECIES
Cd 112.41 Cd.upf
Ag 107.87 Ag.upf
Sn 118.71 Sn.upf
CELL_PARAMETERS angstrom
4.599 -4.135 0.000
4.599 4.135 0.000
-3.909 0.000 4.587
ATOMIC_POSITIONS crystal
Cd 0.000 0.000 0.000
Cd 0.000 0.000 0.499
Cd 0.000 0.500 0.500
Cd 0.500 0.000 0.500
Cd 0.500 0.500 0.000
Ag 0.499 0.999 0.999
Ag 0.999 0.499 0.999
Sn 0.500 0.500 0.500

=====

[17]
! CuSi4, relaxed, DFT PBE-GGA; values from VASP
! - Fermi-level density of states (states/eV per cell) = 2.63
! - electronic total energy (eV/atom) = -4.2555
! - crystal system = cubic
! - formation energy (no corrections) (meV/atom) = 902
! - space group = Pm-3m, No. 221
! - polymorph energy (0 for the lowest one) (meV/atom) = 646
&SYSTEM
  ibrav = 0, nat = 5, ntyp = 2
/
ATOMIC_SPECIES
Cu 63.55 Cu.upf
Si 28.09 Si.upf
CELL_PARAMETERS angstrom
4.473 0.000 0.000
0.000 4.473 0.000
0.000 0.000 4.473
ATOMIC_POSITIONS crystal
Cu 0.000 0.000 0.000
Si 0.000 0.000 0.500
Si 0.000 0.500 0.000
Si 0.500 0.000 0.000
Si 0.500 0.500 0.500

=====

[18]
! Sm6DyHo4, relaxed, DFT PBE-GGA; values from VASP
! - Fermi-level density of states (states/eV per cell) = 38.67
! - electronic total energy (eV/atom) = -4.5370
! - crystal system = orthorhombic
! - space group = Cmcm, No. 63
! - ΔH_f (0 K) (meV/atom) = 120
! - polymorph energy (0 for the lowest one) (meV/atom) = 0
&SYSTEM
  ibrav = 0, nat = 22, ntyp = 3
/
ATOMIC_SPECIES
Sm 150.36 Sm.upf
Dy 162.50 Dy.upf
Ho 164.93 Ho.upf
CELL_PARAMETERS angstrom
2.905 -4.822 0.000
2.905 4.822 0.000
0.000 0.000 25.677
ATOMIC_POSITIONS crystal
Sm 0.000 0.000 0.000
Sm 0.000 0.000 0.500
Sm 0.048 0.952 0.750
Sm 0.299 0.701 0.102
Sm 0.299 0.701 0.398
Sm 0.376 0.624 0.682
Sm 0.376 0.624 0.818
Sm 0.624 0.376 0.182
Sm 0.624 0.376 0.318
Sm 0.701 0.299 0.602
Sm 0.701 0.299 0.898
Sm 0.952 0.048 0.250
Dy 0.289 0.711 0.250
Dy 0.711 0.289 0.750
Ho 0.043 0.957 0.623
Ho 0.043 0.957 0.877
Ho 0.350 0.650 0.544
Ho 0.350 0.650 0.956
Ho 0.650 0.350 0.044
Ho 0.650 0.350 0.456
Ho 0.957 0.043 0.123
Ho 0.957 0.043 0.377

=====

[19]
! Ba3La3Cu6O14, relaxed, DFT PBE-GGA; values from VASP
! - Fermi-level density of states (states/eV per cell) = 4.54
! - electronic total energy (eV/atom) = -6.2951
! - crystal system = orthorhombic
! - formation energy (no corrections) (meV/atom) = -1890
! - space group = Fmm2, No. 42
! - polymorph energy (0 for the lowest one) (meV/atom) = 0
&SYSTEM
  ibrav = 0, nat = 26, ntyp = 4
/
ATOMIC_SPECIES
Ba 137.33 Ba.upf
La 138.91 La.upf
Cu 63.55 Cu.upf
O 16.00 O.upf
CELL_PARAMETERS angstrom
0.000 3.962 11.834
3.884 0.000 11.834
3.884 3.962 0.000
ATOMIC_POSITIONS crystal
Ba 0.000 0.000 0.000
Ba 0.184 0.184 0.816
Ba 0.680 0.680 0.320
La 0.342 0.342 0.658
La 0.500 0.500 0.500
La 0.842 0.842 0.158
Cu 0.089 0.089 0.411
Cu 0.267 0.267 0.233
Cu 0.417 0.417 0.083
Cu 0.589 0.589 0.911
Cu 0.767 0.767 0.733
Cu 0.917 0.917 0.583
O 0.009 0.009 0.491
O 0.026 0.529 0.471
O 0.027 0.525 0.973
O 0.160 0.661 0.840
O 0.167 0.167 0.333
O 0.173 0.652 0.348
O 0.368 0.793 0.632
O 0.509 0.509 0.991
O 0.525 0.027 0.475
O 0.529 0.026 0.974
O 0.652 0.173 0.827
O 0.661 0.160 0.339
O 0.667 0.667 0.833
O 0.793 0.368 0.207

=====

[20]
! Ce2PrTl4, relaxed, DFT PBE-GGA; values from VASP
! - Fermi-level density of states (states/eV per cell) = 15.86
! - electronic total energy (eV/atom) = -3.8835
! - crystal system = tetragonal
! - space group = I4/mmm, No. 139
! - ΔH_f (0 K) (meV/atom) = -153
! - polymorph energy (0 for the lowest one) (meV/atom) = 0
&SYSTEM
  ibrav = 0, nat = 7, ntyp = 3
/
ATOMIC_SPECIES
Ce 140.12 Ce.upf
Pr 140.91 Pr.upf
Tl 204.38 Tl.upf
CELL_PARAMETERS angstrom
-4.058 4.058 3.435
4.058 -4.058 3.435
4.058 4.058 -3.435
ATOMIC_POSITIONS crystal
Ce 0.000 0.500 0.500
Ce 0.500 0.000 0.500
Pr 0.000 0.000 0.000
Tl 0.000 0.000 0.500
Tl 0.000 0.500 0.000
Tl 0.500 0.000 0.000
Tl 0.500 0.500 0.500